The following is a DFT calculation (GGA-PBE) of an optimized crystal structure of TlMo2Rh.

a = 3.2492 Å, b = 3.2492 Å, c = 6.5019 Å
α = 90.00°, β = 90.00°, γ = 90.00°
Space group P4mm (No. 99)
Unique sites:
Tl: 0.0000 0.0000 0.0000 [1 per cell]
Mo: 0.0000 0.0000 0.4928 [1 per cell]
Mo: 0.5000 0.5000 0.2886 [1 per cell]
Rh: 0.5000 0.5000 0.7422 [1 per cell]

Output
Total magnetization ... 0.0 Bohr magnetons per cell
Polymorph energy (0 for the lowest one) ... 0.00 eV/f.u.
Energy ... -7.55 eV/atom
D(E_F) ... 0.56 states/eV per atom

The following is a DFT calculation (GGA-PBE) of an optimized crystal structure of MnTl2TeSe4.

a = 8.1505 Å, b = 8.7647 Å, c = 11.8994 Å
α = 90.00°, β = 90.00°, γ = 90.00°
Space group Imma (No. 74)
Unique sites:
Mn: 0.2500 0.2500 0.2500 [4 per cell]
Tl: 0.0000 0.0000 0.0000 [4 per cell]
Tl: 0.2500 0.2500 0.7500 [4 per cell]
Te: 0.0000 0.0000 0.5000 [4 per cell]
Se: 0.0000 0.0430 0.2589 [8 per cell]
Se: 0.2341 0.2500 0.4779 [8 per cell]

Output
Total magnetization ... 18.7 Bohr magnetons per cell
Energy ... -4.13 eV/atom
D(E_F) ... 0.32 states/eV per atom
Formation energy without anion corrections ... -198 kJ/mol of formula units

The following is a DFT calculation (GGA-PBE) of an optimized crystal structure of Ba2GaTe5As.

a = 4.4718 Å, b = 20.6285 Å, c = 13.8216 Å
α = 90.00°, β = 90.00°, γ = 90.00°
Space group Cmc2_1 (No. 36)
Unique sites:
Ba: 0.0000 0.1126 0.0000 [4 per cell]
Ba: 0.0000 0.1287 0.6185 [4 per cell]
Ga: 0.0000 0.4315 0.7598 [4 per cell]
Te: 0.0000 0.0514 0.3696 [4 per cell]
Te: 0.0000 0.2800 0.9721 [4 per cell]
Te: 0.0000 0.3091 0.6909 [4 per cell]
Te: 0.0000 0.3459 0.3112 [4 per cell]
Te: 0.0000 0.5000 0.0990 [4 per cell]
As: 0.0000 0.2161 0.3370 [4 per cell]

Output
Total magnetization ... 0.0 Bohr magnetons per cell
Energy ... -3.91 eV/atom
Formation energy without anion corrections ... -764 kJ/mol of formula units

The following is a DFT calculation (GGA-PBE) of an optimized crystal structure of Sr2Mg3ZnCd12.

a = 6.6439 Å, b = 6.6439 Å, c = 37.8484 Å
α = 90.00°, β = 90.00°, γ = 120.00°
Space group R-3m (No. 166, hexagonal axes)
Unique sites:
Sr: 0.0000 0.0000 0.1414 [6 per cell]
Mg: 0.0000 0.5000 0.0000 [9 per cell]
Zn: 0.0000 0.0000 0.5000 [3 per cell]
Cd: 0.0025 0.5013 0.1120 [18 per cell]
Cd: 0.0356 0.5178 0.6110 [18 per cell]

Output
Total magnetization ... 0.0 Bohr magnetons per cell
Energy ... -1.17 eV/atom
D(E_F) ... 0.64 states/eV per atom

The following is a DFT calculation (GGA-PBE) of an optimized crystal structure of BeSb2Rh.

a = 6.3870 Å, b = 3.6969 Å, c = 6.8245 Å
α = 90.00°, β = 108.23°, γ = 90.00°
Space group C2/m (No. 12)
Unique sites:
Be: 0.0000 0.0000 0.0000 [2 per cell]
Sb: 0.2486 0.5000 0.2443 [4 per cell]
Rh: 0.0000 0.5000 0.5000 [2 per cell]

Output
Total magnetization ... 0.0 Bohr magnetons per cell
Energy ... -4.74 eV/atom
D(E_F) ... 0.55 states/eV per atom
Formation energy without anion corrections ... 36 kJ/mol of formula units

The following is a DFT calculation (GGA-PBE) of an optimized crystal structure of Ti2NbAlH.

a = 3.9047 Å, b = 3.9047 Å, c = 4.5501 Å
α = 90.00°, β = 90.00°, γ = 90.00°
Space group P4/mmm (No. 123)
Unique sites:
Ti: 0.0000 0.5000 0.0000 [2 per cell]
Nb: 0.0000 0.0000 0.5000 [1 per cell]
Al: 0.5000 0.5000 0.5000 [1 per cell]
H: 0.5000 0.5000 0.0000 [1 per cell]

Output
Total magnetization ... 0.1 Bohr magnetons per cell
Polymorph energy (0 for the lowest one) ... 0.58 eV/f.u.
Energy ... -6.81 eV/atom
D(E_F) ... 1.18 states/eV per atom

The following is a DFT calculation (GGA-PBE) of an optimized crystal structure of LiEr2IrO6.

a = 5.4709 Å, b = 5.4709 Å, c = 14.5429 Å
α = 90.00°, β = 90.00°, γ = 120.00°
Space group R3 (No. 146, hexagonal axes)
Unique sites:
Li: 0.0000 0.0000 0.0000 [3 per cell]
Er: 0.0000 0.0000 0.2673 [3 per cell]
Er: 0.0000 0.0000 0.7743 [3 per cell]
Ir: 0.0000 0.0000 0.4719 [3 per cell]
O: 0.0058 0.3807 0.2113 [9 per cell]
O: 0.0598 0.6924 0.0521 [9 per cell]

Output
Total magnetization ... 6.1 Bohr magnetons per cell
Energy ... -7.29 eV/atom
D(E_F) ... 0.56 states/eV per atom
Formation energy without anion corrections ... -2241 kJ/mol of formula units

The following is a DFT calculation (GGA-PBE) of an optimized crystal structure of Pr2MgInSe5.

a = 4.0670 Å, b = 17.9976 Å, c = 12.6331 Å
α = 90.00°, β = 90.00°, γ = 90.00°
Space group Cmc2_1 (No. 36)
Unique sites:
Pr: 0.0000 0.1178 0.0000 [4 per cell]
Pr: 0.0000 0.1359 0.6318 [4 per cell]
Mg: 0.0000 0.2137 0.3396 [4 per cell]
In: 0.0000 0.4448 0.7802 [4 per cell]
Se: 0.0000 0.0482 0.4080 [4 per cell]
Se: 0.0000 0.2851 0.9854 [4 per cell]
Se: 0.0000 0.3094 0.6838 [4 per cell]
Se: 0.0000 0.3606 0.3191 [4 per cell]
Se: 0.0000 0.4954 0.0947 [4 per cell]

Output
Total magnetization ... 0.0 Bohr magnetons per cell
Energy ... -4.79 eV/atom
D(E_F) ... 0.26 states/eV per atom
Formation energy without anion corrections ... -1139 kJ/mol of formula units

The following is a DFT calculation (GGA-PBE) of an optimized crystal structure of LaFe2As.

a = 4.5807 Å, b = 4.5807 Å, c = 16.2783 Å
α = 90.00°, β = 90.00°, γ = 90.00°
Space group I4_1/amd (No. 141, origin choice 2)
Unique sites:
La: 0.0000 0.2500 0.3750 [4 per cell]
Fe: 0.0000 0.0000 0.0000 [8 per cell]
As: 0.0000 0.2500 0.8750 [4 per cell]

Output
Total magnetization ... 13.4 Bohr magnetons per cell
Energy ... -6.77 eV/atom
D(E_F) ... 0.81 states/eV per atom

The following is a DFT calculation (GGA-PBE) of an optimized crystal structure of BeTe5.

a = 6.0628 Å, b = 4.0004 Å, c = 14.7240 Å
α = 90.00°, β = 90.00°, γ = 90.00°
Space group Amm2 (No. 38)
Unique sites:
Be: 0.0000 0.0000 0.0000 [2 per cell]
Te: 0.0000 0.0000 0.3759 [2 per cell]
Te: 0.0000 0.0000 0.6247 [2 per cell]
Te: 0.5000 0.0000 0.0004 [2 per cell]
Te: 0.5000 0.0000 0.3491 [2 per cell]
Te: 0.5000 0.0000 0.6517 [2 per cell]

Output
Total magnetization ... 0.0 Bohr magnetons per cell
Polymorph energy (0 for the lowest one) ... 0.00 eV/f.u.
Energy ... -3.17 eV/atom
D(E_F) ... 0.40 states/eV per atom
Formation energy without anion corrections ... 42 kJ/mol of formula units

The following is a DFT calculation (GGA-PBE) of an optimized crystal structure of Zr5GaOs4.

a = 3.2789 Å, b = 3.2789 Å, c = 16.8020 Å
α = 90.00°, β = 90.00°, γ = 90.00°
Space group P4/mmm (No. 123)
Unique sites:
Zr: 0.0000 0.0000 0.0000 [1 per cell]
Zr: 0.0000 0.0000 0.1964 [2 per cell]
Zr: 0.0000 0.0000 0.3919 [2 per cell]
Ga: 0.5000 0.5000 0.5000 [1 per cell]
Os: 0.5000 0.5000 0.0981 [2 per cell]
Os: 0.5000 0.5000 0.2949 [2 per cell]

Output
Total magnetization ... 0.0 Bohr magnetons per cell
Energy ... -9.56 eV/atom
D(E_F) ... 0.48 states/eV per atom

The following is a DFT calculation (GGA-PBE) of an optimized crystal structure of RbLi2AcSb2.

a = 4.8562 Å, b = 4.8562 Å, c = 9.5666 Å
α = 90.00°, β = 90.00°, γ = 120.00°
Space group P-3m1 (No. 164)
Unique sites:
Rb: 0.0000 0.0000 0.0000 [1 per cell]
Li: 0.3333 0.6667 0.2658 [2 per cell]
Ac: 0.0000 0.0000 0.5000 [1 per cell]
Sb: 0.3333 0.6667 0.7091 [2 per cell]

Output
Total magnetization ... 0.0 Bohr magnetons per cell
Energy ... -3.65 eV/atom
Formation energy without anion corrections ... -459 kJ/mol of formula units